# 1
## LiPuAl11 (GGA-PBE)

Data for a relaxed structure of LiPuAl11.

```
13
Lattice="4.9336 -0.0570 2.0554 2.3495 6.5908 0.9788 0.0147 -0.0285 6.9134" Properties=species:S:1:pos:R:3 pbc="T T T"
Li 3.6416 3.2669 1.5171
Pu 0.0000 0.0000 0.0000
Al 1.9409 1.4157 2.2914
Al 5.3569 5.0895 7.6563
Al 4.2894 5.1181 3.2698
Al 3.0084 1.3871 6.6779
Al 3.2673 4.2289 5.8243
Al 4.0305 2.2763 4.1235
Al 0.8471 2.3049 4.8159
Al 6.4508 4.2003 5.1318
Al 1.1747 3.2954 0.4894
Al 2.4742 -0.0428 4.4844
Al 0.0074 -0.0143 3.4567
```

Calculated values
formation energy = -91.3 meV per atom
DFT total energy = -4.51 eV/atom

=====

# 2
## TmSi2Ni3 (GGA-PBE)

Data for a relaxed structure of TmSi2Ni3.

```
18
Lattice="-2.7652 -2.0442 -1.4902 4.2315 -5.2250 4.0285 -5.9904 3.8010 5.9015" Properties=species:S:1:pos:R:3 pbc="T T T"
Tm -3.2952 0.7079 5.1435
Tm -1.2288 -4.1762 3.2964
Tm 0.0000 0.0000 0.0000
Si 0.3525 -1.9971 2.0856
Si -4.8765 -1.4712 6.3543
Si 1.3166 -4.9866 4.3977
Si -5.8406 1.5184 4.0422
Si -1.2256 -2.4319 5.6103
Si -3.2984 -1.0364 2.8296
Ni -1.7736 0.7160 2.3089
Ni -2.7504 -4.1843 6.1309
Ni -1.1188 -1.2125 3.7394
Ni -3.4052 -2.2558 4.7005
Ni -1.8803 -1.8129 1.2634
Ni -2.6437 -1.6554 7.1765
Ni -4.3778 0.8784 2.2057
Ni 1.6443 -3.9069 2.3083
Ni -6.1684 0.4386 6.1316
```

Calculated values
DFT total energy = -6.22 eV/atom
formation energy without anion corrections = -776 meV/atom

=====

# 3
## Ho6Bi2Pd (GGA-PBE)

Data for a relaxed structure of Ho6Bi2Pd.

```
18
Lattice="6.4590 0.0000 0.1758 0.0000 7.9369 0.0000 -0.5298 0.0000 10.2613" Properties=species:S:1:pos:R:3 pbc="T T T"
Ho 5.4188 7.7445 2.6544
Ho 5.3279 5.3224 5.7156
Ho 5.1364 5.5465 10.0042
Ho 3.7574 1.5781 5.6516
Ho 3.5659 1.3540 9.9401
Ho 4.0048 3.7761 2.7400
Ho 0.5104 0.1924 7.7827
Ho 0.6013 2.6145 4.7216
Ho 0.7928 2.3903 0.4330
Ho 2.1718 6.3588 4.7856
Ho 2.3633 6.5829 0.4970
Ho 1.9244 4.1608 7.6972
Bi 5.3885 3.0384 7.9202
Bi 3.5053 7.0068 7.7355
Bi 2.4239 0.9301 2.7017
Bi 0.5407 4.8985 2.5169
Pd 3.2295 3.9684 0.0879
Pd -0.2649 0.0000 5.1307
```

Calculated values
formation energy = -500.6 meV per atom
DFT total energy = -4.99 eV/atom

=====

Q: Number 2 is which compound?
A: TmSi2Ni3

=====

Q: Among the records above, which one has the lowest DFT total energy?
A: TmSi2Ni3

=====

Q: Among the records above, which one has the lowest DFT total energy?
A: TmSi2Ni3